# 1
Compound: BePtN2
Source: Alexandria via LeMat-Bulk
Functional: PBE
Structure: relaxed

The crystal system is trigonal. The uncorrected formation energy comes out at 1.085 eV/f.u. As for the volume: 11.4 Å³/atom.

The space group is R-3m (No. 166, hexagonal axes) and the conventional cell measures 3.2397, 3.2397 and 15.0783 Å, with angles of 90.00, 90.00 and 120.00 degrees. The distinct sites, in fractional coordinates, are Be at (0.0000, 0.0000, 0.0000), Pt at (0.0000, 0.0000, 0.5000) and N at (0.0000, 0.0000, 0.1019).

=====

# 2
Compound: BePtN3
Source: Alexandria via LeMat-Bulk
Functional: PBE
Structure: relaxed

The crystal system is cubic. The uncorrected formation energy comes out at 8.107 eV/f.u. As for the volume: 8.6 Å³/atom.

The space group is Pm-3m (No. 221) and the conventional cell measures 3.5030, 3.5030 and 3.5030 Å, with angles of 90.00, 90.00 and 90.00 degrees. The distinct sites, in fractional coordinates, are Be at (0.0000, 0.0000, 0.0000), Pt at (0.5000, 0.5000, 0.5000) and N at (0.0000, 0.0000, 0.5000).

=====

# 3
Compound: BePt3N
Source: Alexandria via LeMat-Bulk
Functional: PBE
Structure: relaxed

The crystal system is cubic. The uncorrected formation energy comes out at 2.890 eV/f.u. As for the volume: 14.1 Å³/atom.

The space group is Pm-3m (No. 221) and the conventional cell measures 4.1334, 4.1334 and 4.1334 Å, with angles of 90.00, 90.00 and 90.00 degrees. The distinct sites, in fractional coordinates, are Be at (0.0000, 0.0000, 0.0000), Pt at (0.0000, 0.5000, 0.5000) and N at (0.5000, 0.5000, 0.5000).

=====

# 4
Compound: BePtN3
Source: Alexandria via LeMat-Bulk
Functional: PBE
Structure: relaxed

The crystal system is cubic. The uncorrected formation energy comes out at 10.834 eV/f.u. As for the volume: 11.9 Å³/atom.

The space group is Pm-3m (No. 221) and the conventional cell measures 3.8992, 3.8992 and 3.8992 Å, with angles of 90.00, 90.00 and 90.00 degrees. The distinct sites, in fractional coordinates, are Be at (0.0000, 0.0000, 0.0000), Pt at (0.5000, 0.5000, 0.5000) and N at (0.0000, 0.5000, 0.5000).

=====

# 5
Compound: BePtN
Source: Alexandria via LeMat-Bulk
Functional: PBE
Structure: relaxed

The crystal system is tetragonal. The uncorrected formation energy comes out at 1.654 eV/f.u. As for the volume: 12.4 Å³/atom.

The space group is I4/mmm (No. 139) and the conventional cell measures 3.1293, 3.1293 and 15.2283 Å, with angles of 90.00, 90.00 and 90.00 degrees. The distinct sites, in fractional coordinates, are Be at (0.0000, 0.0000, 0.2159), Pt at (0.0000, 0.0000, 0.3647) and N at (0.0000, 0.0000, 0.1114).

=====

# 6
Compound: BePt2N2
Source: Alexandria via LeMat-Bulk
Functional: PBE
Structure: relaxed

The crystal system is tetragonal. The uncorrected formation energy comes out at 4.237 eV/f.u. As for the volume: 12.0 Å³/atom.

The space group is I4/mmm (No. 139) and the conventional cell measures 4.0063, 4.0063 and 7.4909 Å, with angles of 90.00, 90.00 and 90.00 degrees. The distinct sites, in fractional coordinates, are Be at (0.0000, 0.0000, 0.0000), Pt at (0.0000, 0.5000, 0.2500) and N at (0.0000, 0.0000, 0.4200).